Entry from Alexandria: a relaxed structure of RbInSeBr2 (PBE-GGA).

a b c (Å): 5.710 5.710 5.258
angles (deg): 90.00 90.00 90.00
Space group P4/mmm (No. 123)
One atom of each set of equivalent atoms:
Rb: 0.000 0.000 0.000
In: 0.500 0.500 0.500
Se: 0.500 0.500 0.000
Br: 0.000 0.500 0.500

Results
- total DFT energy (no corrections) (eV/atom) = -3.00
- formation energy from raw total energies (meV per atom) = -896